DFT (PBE) results for a relaxed AgGeAsO5 crystal.

Values from the calculation:
Formation energy (no corrections), eV/atom: -1.08
Size of the total moment, μB per formula unit: 0.0

extended XYZ file:
```
16
Lattice="5.6350 0.0958 -0.0002 -1.5533 5.4175 -0.0002 -1.6975 -2.2929 6.3307" Properties=species:S:1:pos:R:3 pbc="T T T"
Ag 0.4203 3.0690 1.5824
Ag 1.9639 0.1514 4.7478
Ge -0.8488 -1.1464 3.1653
Ge 0.0000 0.0000 0.0000
As 2.9700 1.1814 1.5824
As -0.5858 2.0390 4.7478
O -1.4963 4.4879 1.5824
O 3.8805 -1.2675 4.7478
O 4.4366 1.4854 0.7001
O -2.0524 1.7350 5.6301
O 3.1073 -0.3101 2.4648
O -0.7231 3.5305 3.8654
O 2.6376 2.4744 2.6809
O -0.2534 0.7460 3.6493
O 1.6362 1.1218 0.4840
O 0.7480 2.0986 5.8463
```

=====

DFT (PBE) results for a relaxed YB2 crystal.

Values from the calculation:
Polymorph energy (0 for the lowest one), eV/atom: 0.156
Size of the total moment, μB per formula unit: 0.0
DFT formation energy, eV per atom: -0.412

extended XYZ file:
```
6
Lattice="3.4903 0.0000 -0.7843 -0.1763 3.4858 -0.7843 -0.4239 -0.4459 6.2716" Properties=species:S:1:pos:R:3 pbc="T T T"
Y 2.3617 0.6485 2.3514
Y 0.0000 0.0000 0.0000
B 0.3356 2.1886 1.4934
B 1.8499 1.9457 0.0737
B 0.7213 2.5943 3.2095
B 1.0403 1.0942 4.6291
```

=====

DFT (PBE) results for a relaxed Ir2WBr crystal.

Values from the calculation:
Formation energy (no corrections), eV/atom: 1.00
Polymorph energy (0 for the lowest one), eV/atom: 0.748
Size of the total moment, μB per formula unit: 0.0

extended XYZ file:
```
4
Lattice="-4.0530 2.6638 -0.0894 -1.7491 -2.7811 -3.5688 -1.1603 -1.7018 1.8949" Properties=species:S:1:pos:R:3 pbc="T T T"
Ir 0.0000 0.0000 0.0000
Ir -2.9010 -0.0587 -1.8291
Br -1.4547 -2.2415 -0.8370
W -2.6066 0.4810 0.9027
```

=====

DFT (PBE) results for a relaxed Ba2Li3Ag12Sn crystal.

Values from the calculation:
Size of the total moment, μB per formula unit: 0.0
DFT formation energy, eV per atom: -0.033

extended XYZ file:
```
18
Lattice="-2.1548 6.5341 8.3739 -6.5667 1.1829 8.5404 -0.0661 0.3915 10.8306" Properties=species:S:1:pos:R:3 pbc="T T T"
Ba -5.6756 5.2370 17.9194
Ba -3.1120 2.8715 9.8255
Li -1.0774 3.2671 4.1869
Li -3.2834 0.5914 4.2702
Li -0.0331 0.1958 5.4153
Ag -3.6167 3.4700 15.6870
Ag -8.1226 7.3083 19.6492
Ag -6.9436 3.8408 21.0360
Ag -4.4560 5.9383 14.6998
Ag -4.4530 6.8616 20.9420
Ag -6.2288 3.7880 14.7667
Ag -5.1710 4.6385 12.0579
Ag -0.6650 0.8002 8.0957
Ag -1.8441 4.2678 6.7089
Ag -4.3317 2.1703 13.0451
Ag -4.3347 1.2469 6.8029
Ag -2.5588 4.3205 12.9782
Sn 0.0000 0.0000 0.0000
```

=====

DFT (PBE) results for a relaxed Ti4RuRh crystal.

Values from the calculation:
Size of the total moment, μB per formula unit: 0.0
DFT formation energy, eV per atom: -0.191

extended XYZ file:
```
6
Lattice="4.3461 0.0000 0.0000 2.1730 3.7573 0.2121 2.1730 0.8561 6.7399" Properties=species:S:1:pos:R:3 pbc="T T T"
Ti 4.3461 2.4568 0.9555
Ti 4.3461 2.1566 5.9965
Ti 2.1730 1.0033 4.2662
Ti 6.5191 3.6101 2.6857
Ru 0.0000 0.0000 0.0000
Rh 4.3461 2.3067 3.4760
```

=====

DFT (PBE) results for a relaxed KCa2Cd crystal.

Values from the calculation:
Size of the total moment, μB per formula unit: 0.0
DFT formation energy, eV per atom: 0.103

extended XYZ file:
```
4
Lattice="6.7539 -0.0008 -0.0026 -3.2409 6.5116 -0.0296 0.2721 1.1063 3.6000" Properties=species:S:1:pos:R:3 pbc="T T T"
Ca 0.0000 0.0000 0.0000
Ca 3.5130 0.5527 1.7987
Cd -1.4844 3.8090 1.7852
K 1.7565 3.2554 -0.0161
```

=====

| no. | density of states at the Fermi level (states/eV/f.u.) |
| --- | --- |
| 1 | 0.0 |
| 2 | 0.9 |
| 3 | 4.8 |
| 4 | 6.9 |
| 5 | 8.2 |
| 6 | 3.3 |